No. 1
AgOs2Se: optimized geometry, GGA-PBEsol.

Cell and atoms, written as extended XYZ:
```
4
Lattice="-0.0572 2.8427 0.7607 -3.7229 -0.7403 2.4868 3.1585 -0.7828 3.1628" Properties=species:S:1:pos:R:3 pbc="T T T"
Ag -0.3108 0.6598 3.2052
Os -1.8614 -0.3702 1.2434
Os 1.5792 -0.3914 1.5814
Se -0.0286 1.4214 0.3803
```

## Properties
* crystal system: orthorhombic

No. 2
SiAgOs2: optimized geometry, GGA-PBEsol.

Cell and atoms, written as extended XYZ:
```
4
Lattice="-1.6442 -1.3848 1.7603 2.2063 -0.6256 1.5686 -1.0437 6.2989 3.9803" Properties=species:S:1:pos:R:3 pbc="T T T"
Os -0.0265 0.1600 0.1011
Os 0.0138 0.6079 2.6838
Si -0.4973 3.0011 1.8964
Ag -0.4934 3.6690 4.6181
```

## Properties
* crystal system: tetragonal

No. 3
SiAg2Os: optimized geometry, GGA-PBEsol.

Cell and atoms, written as extended XYZ:
```
4
Lattice="2.8637 0.0000 0.0000 0.0000 4.2088 0.0000 -1.4318 -2.1044 4.9314" Properties=species:S:1:pos:R:3 pbc="T T T"
Ag 1.4318 2.1044 2.1494
Si 0.0000 2.1044 0.0000
Ag 0.0000 0.0000 2.7820
Os 1.4318 0.0000 0.0000
```

## Properties
* crystal system: orthorhombic

No. 4
SiAg2Os: optimized geometry, GGA-PBEsol.

Cell and atoms, written as extended XYZ:
```
4
Lattice="-1.1536 1.7102 -2.1203 2.0787 -3.7079 -2.0579 -4.4633 -1.2581 1.4136" Properties=species:S:1:pos:R:3 pbc="T T T"
Ag 0.7019 -1.9281 -4.0006
Os -3.1102 -0.0376 -0.4018
Ag -0.8200 -0.8149 -2.2748
Si -2.1934 -2.2469 -0.6189
```

## Properties
* crystal system: monoclinic

| no. | uncorrected formation energy (eV/f.u.) | VASP energy (eV per atom) |
| --- | --- | --- |
| 1 | 4.10 | -6.8734 |
| 2 | 0.95 | -8.1341 |
| 3 | 1.05 | -5.8843 |
| 4 | 1.10 | -5.8712 |